No. 1
VASP calculation (GGA-PBE) on a geometry-optimized Li2TeCl structure.

a = 3.6867 Å, b = 3.6867 Å, c = 17.8351 Å
α = 90.00°, β = 90.00°, γ = 90.00°
Last column: nearest neighbours and their distance in Å.
Space group I-4m2 (No. 119)
Symmetry-distinct sites (fractional):
Li (0.0000, 0.0000, 0.0000) x2  4 Cl 2.61
Li (0.0000, 0.5000, 0.2500) x2  4 Te 2.61
Te (0.0000, 0.5000, 0.7500) x2  4 Li 2.61
Cl (0.0000, 0.0000, 0.5000) x2  4 Li 2.61

Calculated values
- Energy relative to the lowest polymorph listed for this composition: 0.255 eV per atom

=====

No. 2
VASP calculation (GGA-PBE) on a geometry-optimized Na3TcPt structure.

a = 5.3800 Å, b = 5.3800 Å, c = 5.3800 Å
α = 90.00°, β = 90.00°, γ = 90.00°
Last column: nearest neighbours and their distance in Å.
Space group Pm-3m (No. 221)
Symmetry-distinct sites (fractional):
Na (0.0000, 0.0000, 0.5000) x3  2 Pt 2.69
Tc (0.5000, 0.5000, 0.5000) x1  12 Na 3.80
Pt (0.0000, 0.0000, 0.0000) x1  6 Na 2.69

Calculated values
- Energy relative to the lowest polymorph listed for this composition: 0.000 eV per atom
- ΔE_f: 1.0911 eV/atom

=====

No. 3
VASP calculation (GGA-PBE) on a geometry-optimized La3SnN structure.

a = 7.0717 Å, b = 15.0025 Å, c = 5.0479 Å
α = 90.00°, β = 90.00°, γ = 90.00°
Last column: nearest neighbours and their distance in Å.
Space group Cmmm (No. 65)
Symmetry-distinct sites (fractional):
La (0.0000, 0.1337, 0.0000) x4  2 N 2.53
La (0.2493, 0.5000, 0.5000) x4  2 N 2.51
La (0.2500, 0.2500, 0.5000) x4  2 N 2.65
Sn (0.0000, 0.3666, 0.0000) x4  11 La 3.49-3.67
N (0.0000, 0.1184, 0.5000) x4  6 La 2.51-2.65

Calculated values
- VASP energy: -6.383 eV/atom

=====

No. 4
VASP calculation (GGA-PBE) on a geometry-optimized ZrInCl2 structure.

a = 3.4281 Å, b = 4.5854 Å, c = 5.7663 Å
α = 90.00°, β = 92.10°, γ = 90.00°
Last column: nearest neighbours and their distance in Å.
Space group P2/m (No. 10)
Symmetry-distinct sites (fractional):
Zr (0.0000, 0.0000, 0.0000) x1  4 Cl 2.71
In (0.5000, 0.0000, 0.5000) x1  4 Cl 3.04, 2 Zr 3.30
Cl (0.1508, 0.5000, 0.7701) x2  2 Zr 2.71, 1 Cl 2.88

Calculated values
- Energy relative to the lowest polymorph listed for this composition: 0.333 eV per atom

=====

no.,size of the total moment (μB per cell)
1,0.00
2,4.01
3,0.00
4,0.45